A PBEsol-optimized structure of La5Au, computed with meta-GGA SCAN.

E_tot   -286.627 eV for the cell shown
Formation enthalpy at 0 K   -0.324 eV/atom
Fermi-level density of states   7.39 states/eV/cell
Mass density   8.04 g/cm3

abc: 3.7234 3.7234 13.2807
angles: 90.00 90.00 90.00
Space group P4/mmm (No. 123)
Inequivalent atoms, fractional coordinates:
La: 0.0000 0.0000 0.0000
La: 0.0000 0.0000 0.3656
La: 0.5000 0.5000 0.1845
Au: 0.5000 0.5000 0.5000

---

A PBEsol-optimized structure of La2Au3, computed with meta-GGA SCAN.

E_tot   -2387.225 eV for the cell shown
Formation enthalpy at 0 K   -0.944 eV/atom
Fermi-level density of states   32.92 states/eV/cell
Mass density   12.10 g/cm3

abc: 10.3391 15.6339 5.9022
angles: 90.00 90.00 90.00
Space group Fdd2 (No. 43)
Inequivalent atoms, fractional coordinates:
La: 0.0774 0.3017 0.0000
Au: 0.0000 0.0000 0.3437
Au: 0.0678 0.3787 0.4902

---

A PBEsol-optimized structure of La2Au3, computed with meta-GGA SCAN.

E_tot   -597.308 eV for the cell shown
Formation enthalpy at 0 K   -0.995 eV/atom
Fermi-level density of states   4.97 states/eV/cell
Mass density   12.04 g/cm3

abc: 3.7918 3.7918 16.6709
angles: 90.00 90.00 90.00
Space group I4/mmm (No. 139)
Inequivalent atoms, fractional coordinates:
La: 0.0000 0.0000 0.1112
Au: 0.0000 0.0000 0.2959
Au: 0.0000 0.0000 0.5000

---

A PBEsol-optimized structure of La3Au, computed with meta-GGA SCAN.

E_tot   -802.787 eV for the cell shown
Formation enthalpy at 0 K   -0.556 eV/atom
Fermi-level density of states   15.69 states/eV/cell
Mass density   8.26 g/cm3

abc: 7.1928 10.5240 6.5173
angles: 90.00 90.00 90.00
Space group Pnma (No. 62)
Inequivalent atoms, fractional coordinates:
La: 0.0180 0.2500 0.1400
La: 0.1874 0.0484 0.6584
Au: 0.1130 0.7500 0.4054

---

A PBEsol-optimized structure of La3Au, computed with meta-GGA SCAN.

E_tot   -599.955 eV for the cell shown
Formation enthalpy at 0 K   -0.378 eV/atom
Fermi-level density of states   13.69 states/eV/cell
Mass density   8.12 g/cm3

abc: 3.7706 3.7706 30.5962
angles: 90.00 90.00 120.00
Space group R-3m (No. 166, hexagonal axes)
Inequivalent atoms, fractional coordinates:
La: 0.0000 0.0000 0.0000
La: 0.0000 0.0000 0.2367
Au: 0.0000 0.0000 0.5000

---

A PBEsol-optimized structure of La2Au3, computed with meta-GGA SCAN.

E_tot   -895.843 eV for the cell shown
Formation enthalpy at 0 K   -0.987 eV/atom
Fermi-level density of states   12.47 states/eV/cell
Mass density   11.42 g/cm3

abc: 4.7064 4.7064 19.7504
angles: 90.00 90.00 120.00
Space group R-3m (No. 166, hexagonal axes)
Inequivalent atoms, fractional coordinates:
La: 0.0000 0.0000 0.0869
Au: 0.0000 0.0000 0.3350
Au: 0.0000 0.0000 0.5000

---

A PBEsol-optimized structure of La4Au, computed with meta-GGA SCAN.

E_tot   -487.295 eV for the cell shown
Formation enthalpy at 0 K   -0.414 eV/atom
Fermi-level density of states   11.40 states/eV/cell
Mass density   8.14 g/cm3

abc: 9.0520 9.0520 3.7479
angles: 90.00 90.00 90.00
Space group I4/m (No. 87)
Inequivalent atoms, fractional coordinates:
La: 0.0804 0.2715 0.0000
Au: 0.0000 0.0000 0.5000

---

A PBEsol-optimized structure of La5Au4, computed with meta-GGA SCAN.

E_tot   -1000.387 eV for the cell shown
Formation enthalpy at 0 K   -0.893 eV/atom
Fermi-level density of states   17.22 states/eV/cell
Mass density   9.94 g/cm3

abc: 8.9015 8.9015 7.2201
angles: 90.00 90.00 120.00
Space group P6_3/mcm (No. 193)
Inequivalent atoms, fractional coordinates:
La: 0.0000 0.2704 0.2500
La: 0.3333 0.6667 0.0000
Au: 0.0000 0.0000 0.0000
Au: 0.0000 0.3909 0.7500

---

A PBEsol-optimized structure of LaAu2, computed with meta-GGA SCAN.

E_tot   -737.493 eV for the cell shown
Formation enthalpy at 0 K   -0.985 eV/atom
Fermi-level density of states   5.48 states/eV/cell
Mass density   12.14 g/cm3

abc: 4.0286 4.0286 17.9676
angles: 90.00 90.00 90.00
Space group I4_1/amd (No. 141, origin choice 2)
Inequivalent atoms, fractional coordinates:
La: 0.0000 0.2500 0.3750
Au: 0.0000 0.2500 0.7995

---

A PBEsol-optimized structure of La5Au, computed with meta-GGA SCAN.

E_tot   -1133.598 eV for the cell shown
Formation enthalpy at 0 K   0.214 eV/atom
Fermi-level density of states   26.97 states/eV/cell
Mass density   8.12 g/cm3

abc: 9.0024 9.0024 9.0024
angles: 90.00 90.00 90.00
Space group F-43m (No. 216)
Inequivalent atoms, fractional coordinates:
La: 0.0000 0.0000 0.0000
La: 0.1235 0.1235 0.3765
Au: 0.2500 0.2500 0.7500

---

A PBEsol-optimized structure of La2Au3, computed with meta-GGA SCAN.

E_tot   -593.026 eV for the cell shown
Formation enthalpy at 0 K   -0.566 eV/atom
Fermi-level density of states   5.04 states/eV/cell
Mass density   12.59 g/cm3

abc: 3.7836 3.7836 16.0069
angles: 90.00 90.00 90.00
Space group I4/mmm (No. 139)
Inequivalent atoms, fractional coordinates:
La: 0.0000 0.0000 0.1839
Au: 0.0000 0.0000 0.0000
Au: 0.0000 0.0000 0.4122

---

A PBEsol-optimized structure of LaAu3, computed with meta-GGA SCAN.

E_tot   -507.533 eV for the cell shown
Formation enthalpy at 0 K   -0.798 eV/atom
Fermi-level density of states   1.58 states/eV/cell
Mass density   14.23 g/cm3

abc: 5.5428 5.5428 5.5428
angles: 90.00 90.00 90.00
Space group Pm-3n (No. 223)
Inequivalent atoms, fractional coordinates:
La: 0.0000 0.0000 0.0000
Au: 0.0000 0.2500 0.5000